# LiTaSi3, relaxed, DFT GGA-PBE
data_LiTaSi3
_chemical_formula_sum 'Li1 Ta1 Si3'
_space_group_name_H-M_alt 'P m -3 m'
_space_group_IT_number 221
_space_group_name_Hall '-P 4 2 3'
_cell_length_a 4.2419
_cell_length_b 4.2419
_cell_length_c 4.2419
_cell_angle_alpha 90.00
_cell_angle_beta 90.00
_cell_angle_gamma 90.00
loop_
_atom_site_label
_atom_site_type_symbol
_atom_site_fract_x
_atom_site_fract_y
_atom_site_fract_z
Li1 Li 0.0000 0.0000 0.0000
Ta1 Ta 0.5000 0.5000 0.5000
Si1 Si 0.0000 0.0000 0.5000
# energy relative to the elements, uncorrected	4.851	eV per formula unit
# size of the total moment	0.0	Bohr magnetons per cell
# calculated volume	15.27	Å³ per atom
# density of states at the Fermi level	0.6861	states/eV per atom


# LiTaTi2Si, relaxed, DFT GGA-PBE
data_LiTaTi2Si
_chemical_formula_sum 'Li1 Ta1 Ti2 Si1'
_space_group_name_H-M_alt 'P 4/m m m'
_space_group_IT_number 123
_space_group_name_Hall '-P 4 2'
_cell_length_a 4.8195
_cell_length_b 4.8195
_cell_length_c 4.9382
_cell_angle_alpha 90.00
_cell_angle_beta 90.00
_cell_angle_gamma 90.00
loop_
_atom_site_label
_atom_site_type_symbol
_atom_site_fract_x
_atom_site_fract_y
_atom_site_fract_z
Li1 Li 0.0000 0.0000 0.0000
Ta1 Ta 0.5000 0.5000 0.5000
Ti1 Ti 0.0000 0.5000 0.5000
Si1 Si 0.5000 0.5000 0.0000
# energy relative to the elements, uncorrected	4.089	eV per formula unit
# size of the total moment	0.0	Bohr magnetons per cell
# calculated volume	22.94	Å³ per atom
# density of states at the Fermi level	1.0336	states/eV per atom


# LiTaTi2Si, relaxed, DFT GGA-PBE
data_LiTaTi2Si
_chemical_formula_sum 'Li1 Ta1 Ti2 Si1'
_space_group_name_H-M_alt 'P 4/m m m'
_space_group_IT_number 123
_space_group_name_Hall '-P 4 2'
_cell_length_a 4.6615
_cell_length_b 4.6615
_cell_length_c 4.7482
_cell_angle_alpha 90.00
_cell_angle_beta 90.00
_cell_angle_gamma 90.00
loop_
_atom_site_label
_atom_site_type_symbol
_atom_site_fract_x
_atom_site_fract_y
_atom_site_fract_z
Li1 Li 0.0000 0.0000 0.0000
Ta1 Ta 0.5000 0.5000 0.0000
Ti1 Ti 0.0000 0.5000 0.5000
Si1 Si 0.5000 0.5000 0.5000
# energy relative to the elements, uncorrected	2.873	eV per formula unit
# size of the total moment	0.0	Bohr magnetons per cell
# calculated volume	20.64	Å³ per atom
# density of states at the Fermi level	0.8645	states/eV per atom


The distance to the lowest polymorph of the same formula results, record by record, are as follows: 2.74; 1.22; 0.00 eV per formula unit.